Record 1
5
Lattice="-1.204 -2.197 -3.743 3.871 -2.300 0.105 -2.703 -4.390 3.446" Properties=species:S:1:pos:R:3 comment="RbBiIO2 | Alexandria via LeMat-Bulk | meta-GGA SCAN | PBEsol geometry" spacegroup="P4/mmm, No. 123" dos_at_fermi_per_ev_cell=1.60 pbc="T T T"
O -0.602 -1.098 -1.871
O 1.935 -1.150 0.053
Rb -0.018 -4.443 -0.096
I -1.351 -2.195 1.723
Bi 0.000 0.000 0.000

***

Record 2
5
Lattice="-0.992 3.409 -1.252 -0.498 -2.049 -5.183 -5.375 -1.200 0.991" Properties=species:S:1:pos:R:3 comment="ReBiI2O | Alexandria via LeMat-Bulk | meta-GGA SCAN | PBEsol geometry" spacegroup="P4/mmm, No. 123" dos_at_fermi_per_ev_cell=3.98 pbc="T T T"
Re 0.000 0.000 0.000
O -0.496 1.704 -0.626
Bi -3.433 0.080 -2.722
I -0.249 -1.025 -2.592
I -2.688 -0.600 0.495

***

Record 3
5
Lattice="-3.533 2.027 -0.554 0.477 -0.283 -4.073 -2.622 -4.569 0.010" Properties=species:S:1:pos:R:3 comment="BiRuIO2 | Alexandria via LeMat-Bulk | meta-GGA SCAN | PBEsol geometry" spacegroup="P4/mmm, No. 123" dos_at_fermi_per_ev_cell=3.06 pbc="T T T"
I -1.311 -2.284 0.005
O 0.239 -0.141 -2.037
Bi -2.839 -1.412 -2.309
Ru 0.000 0.000 0.000
O -1.767 1.013 -0.277

***

Number 1: E_form (uncorrected) -0.70 eV/atom. Number 2: E_form (uncorrected) 0.12 eV/atom. Number 3: E_form (uncorrected) 0.14 eV/atom.